K4TlCr, optimized geometry, DFT PBE; volume = 46.93 Å³ per atom; space group = No. 216; calculated formation energy = 0.647 eV per atom
1.0
0.000 5.202 5.202
5.202 0.000 5.202
5.202 5.202 0.000
K Tl Cr
4 1 1
direct
0.125 0.125 0.125
0.125 0.125 0.625
0.125 0.625 0.125
0.625 0.125 0.125
0.750 0.750 0.750
0.500 0.500 0.500